VASP calculation (PBE-GGA) on an optimized crystal structure of CsTi2Hg.

a b c (Å): 4.791 4.791 21.952
angles (deg): 90.00 90.00 90.00
Space group I-42d (No. 122)
Unique sites:
Cs1 0.000 0.000 0.000 (multiplicity 4)
Ti1 0.051 0.250 0.625 (multiplicity 8)
Hg1 0.000 0.000 0.500 (multiplicity 4)

---

VASP calculation (PBE-GGA) on an optimized crystal structure of Ac3AlIr3.

a b c (Å): 8.9203 8.9203 6.0073
angles (deg): 90.00 90.00 120.00
Space group P6_3/m (No. 176)
Unique sites:
Ac1 0.0607 0.3581 0.2500 (multiplicity 6)
Al1 0.3333 0.6667 0.7500 (multiplicity 2)
Ir1 0.0716 0.3857 0.7500 (multiplicity 6)

Calculated values
Energy above the most stable polymorph in this dataset = 15.4 kJ/mol of atoms

---

VASP calculation (PBE-GGA) on an optimized crystal structure of TlRe4Rh.

a b c (Å): 7.415 7.415 7.415
angles (deg): 90.00 90.00 90.00
Space group F-43m (No. 216)
Unique sites:
Tl1 0.000 0.000 0.000 (multiplicity 4)
Re1 0.124 0.124 0.624 (multiplicity 16)
Rh1 0.250 0.250 0.250 (multiplicity 4)

---

VASP calculation (PBE-GGA) on an optimized crystal structure of CrTe4Rh2.

a b c (Å): 13.143 4.078 7.082
angles (deg): 90.00 121.78 90.00
Space group C2/m (No. 12)
Unique sites:
Cr1 0.000 0.000 0.000 (multiplicity 2)
Te1 0.129 0.000 0.466 (multiplicity 4)
Te2 0.130 0.500 0.961 (multiplicity 4)
Rh1 0.248 0.500 0.737 (multiplicity 4)

---

VASP calculation (PBE-GGA) on an optimized crystal structure of Zr4OsPd2.

a b c (Å): 4.6575 4.6575 22.8665
angles (deg): 90.00 90.00 120.00
Space group R-3m (No. 166, hexagonal axes)
Unique sites:
Zr1 0.0000 0.0000 0.1234 (multiplicity 6)
Zr2 0.0000 0.0000 0.3743 (multiplicity 6)
Os1 0.0000 0.0000 0.0000 (multiplicity 3)
Pd1 0.0000 0.0000 0.2452 (multiplicity 6)

---

VASP calculation (PBE-GGA) on an optimized crystal structure of Dy2Pd12Au5.

a b c (Å): 12.361 8.484 6.556
angles (deg): 90.00 97.44 90.00
Space group C2/m (No. 12)
Unique sites:
Dy1 0.000 0.227 0.000 (multiplicity 4)
Pd1 0.052 0.500 0.711 (multiplicity 4)
Pd2 0.104 0.276 0.429 (multiplicity 8)
Pd3 0.137 0.000 0.873 (multiplicity 4)
Pd4 0.238 0.316 0.818 (multiplicity 8)
Au1 0.000 0.000 0.500 (multiplicity 2)
Au2 0.142 0.500 0.118 (multiplicity 4)
Au3 0.226 0.000 0.507 (multiplicity 4)

---

no.,E (eV per atom)
1,-3.2397
2,-6.6024
3,-9.1654
4,-5.5855
5,-8.3521
6,-4.9035